A plane-wave DFT calculation with PBE with a Hubbard U was carried out for a relaxed structure of TlNiC2O6. Values from VASP.

Space-group type: R-3 (148)
Energy, eV for the cell shown: -64.825
M_tot, μB/cell: 1.57

The structure in Quantum ESPRESSO input format:
```
&SYSTEM
  ibrav = 0, nat = 10, ntyp = 4
/
ATOMIC_SPECIES
Tl 204.38 Tl.upf
Ni 58.69 Ni.upf
C 12.01 C.upf
O 16.00 O.upf
ATOMIC_POSITIONS crystal
Tl 0.0000 0.0000 0.0000
Ni 0.5000 0.5000 0.5000
C 0.2373 0.2373 0.2373
C 0.7627 0.7627 0.7627
O 0.0444 0.5223 0.7167
O 0.2833 0.9556 0.4777
O 0.4777 0.2833 0.9556
O 0.5223 0.7167 0.0444
O 0.7167 0.0444 0.5223
O 0.9556 0.4777 0.2833
CELL_PARAMETERS angstrom
2.4605 1.4206 5.5899
-2.4605 1.4206 5.5899
0.0000 -2.8412 5.5899
```